Model P:
# NiWNF2

A relaxed NiWNF2 crystal (GGA+U, the Alexandria database).

Structure (CIF):
```
data_NiWNF2
_cell_length_a 4.199
_cell_length_b 4.199
_cell_length_c 4.014
_cell_angle_alpha 90.00
_cell_angle_beta 90.00
_cell_angle_gamma 90.00
_space_group_name_H-M_alt 'P 4/m m m'
_space_group_IT_number 123
_space_group_name_Hall '-P 4 2'
loop_
_atom_site_label
_atom_site_type_symbol
_atom_site_fract_x
_atom_site_fract_y
_atom_site_fract_z
_atom_site_occupancy
Ni1 Ni 0.000 0.000 0.000 1
W1 W 0.500 0.500 0.500 1
N1 N 0.500 0.500 0.000 1
F1 F 0.000 0.500 0.500 1
```

***

Model Q:
# NiWNF2

A relaxed NiWNF2 crystal (GGA+U, the Alexandria database).

Structure (CIF):
```
data_NiWNF2
_cell_length_a 3.651
_cell_length_b 3.651
_cell_length_c 4.654
_cell_angle_alpha 90.00
_cell_angle_beta 90.00
_cell_angle_gamma 90.00
_space_group_name_H-M_alt 'P 4/m m m'
_space_group_IT_number 123
_space_group_name_Hall '-P 4 2'
loop_
_atom_site_label
_atom_site_type_symbol
_atom_site_fract_x
_atom_site_fract_y
_atom_site_fract_z
_atom_site_occupancy
Ni1 Ni 0.000 0.000 0.000 1
W1 W 0.500 0.500 0.500 1
N1 N 0.000 0.000 0.500 1
F1 F 0.000 0.500 0.000 1
```

***

How do the energies compare? Relative to the most stable structure, in meV/atom: model P 0; model Q 347.

***

Model P:
# ZnNiNF2

A relaxed ZnNiNF2 crystal (GGA+U, the Alexandria database).

Structure (CIF):
```
data_ZnNiNF2
_cell_length_a 3.825
_cell_length_b 3.825
_cell_length_c 4.198
_cell_angle_alpha 90.00
_cell_angle_beta 90.00
_cell_angle_gamma 90.00
_space_group_name_H-M_alt 'P 4/m m m'
_space_group_IT_number 123
_space_group_name_Hall '-P 4 2'
loop_
_atom_site_label
_atom_site_type_symbol
_atom_site_fract_x
_atom_site_fract_y
_atom_site_fract_z
_atom_site_occupancy
Zn1 Zn 0.000 0.000 0.000 1
Ni1 Ni 0.500 0.500 0.500 1
N1 N 0.000 0.000 0.500 1
F1 F 0.000 0.500 0.000 1
```

***

Model Q:
# ZnNiNF2

A relaxed ZnNiNF2 crystal (GGA+U, the Alexandria database).

Structure (CIF):
```
data_ZnNiNF2
_cell_length_a 3.813
_cell_length_b 3.813
_cell_length_c 4.045
_cell_angle_alpha 90.00
_cell_angle_beta 90.00
_cell_angle_gamma 90.00
_space_group_name_H-M_alt 'P 4/m m m'
_space_group_IT_number 123
_space_group_name_Hall '-P 4 2'
loop_
_atom_site_label
_atom_site_type_symbol
_atom_site_fract_x
_atom_site_fract_y
_atom_site_fract_z
_atom_site_occupancy
Zn1 Zn 0.000 0.000 0.000 1
Ni1 Ni 0.500 0.500 0.500 1
N1 N 0.500 0.500 0.000 1
F1 F 0.000 0.500 0.500 1
```

***

How do the energies compare? Relative to the most stable structure, in meV/atom: model P 224; model Q 0.

***

Model P:
# ZrNiN2F

A relaxed ZrNiN2F crystal (GGA+U, the Alexandria database).

Structure (CIF):
```
data_ZrNiN2F
_cell_length_a 3.813
_cell_length_b 3.813
_cell_length_c 3.623
_cell_angle_alpha 90.00
_cell_angle_beta 90.00
_cell_angle_gamma 90.00
_space_group_name_H-M_alt 'P 4/m m m'
_space_group_IT_number 123
_space_group_name_Hall '-P 4 2'
loop_
_atom_site_label
_atom_site_type_symbol
_atom_site_fract_x
_atom_site_fract_y
_atom_site_fract_z
_atom_site_occupancy
Zr1 Zr 0.000 0.000 0.000 1
Ni1 Ni 0.500 0.500 0.500 1
N1 N 0.000 0.500 0.500 1
F1 F 0.500 0.500 0.000 1
```

***

Model Q:
# ZrNiN2F

A relaxed ZrNiN2F crystal (GGA+U, the Alexandria database).

Structure (CIF):
```
data_ZrNiN2F
_cell_length_a 4.227
_cell_length_b 4.227
_cell_length_c 4.095
_cell_angle_alpha 90.00
_cell_angle_beta 90.00
_cell_angle_gamma 90.00
_space_group_name_H-M_alt 'P 4/m m m'
_space_group_IT_number 123
_space_group_name_Hall '-P 4 2'
loop_
_atom_site_label
_atom_site_type_symbol
_atom_site_fract_x
_atom_site_fract_y
_atom_site_fract_z
_atom_site_occupancy
Zr1 Zr 0.000 0.000 0.000 1
Ni1 Ni 0.500 0.500 0.500 1
N1 N 0.000 0.500 0.000 1
F1 F 0.000 0.000 0.500 1
```

***

How do the energies compare? Relative to the most stable structure, in meV/atom: model P 0; model Q 159.